[1]
! TcAgSbI2 PBE optimized geometry; values from VASP
! Size of the total moment: 0.28 μB per atom
! E_form (uncorrected): 626 meV/atom
! SG: P4/mmm, No. 123
! Density of states at the Fermi level: 3.48 states/eV/f.u.
! Energy relative to the lowest polymorph listed for this composition: 0 meV per atom
&SYSTEM
  ibrav = 0, nat = 5, ntyp = 4
/
ATOMIC_SPECIES
I 126.90 I.upf
Sb 121.76 Sb.upf
Tc 98.00 Tc.upf
Ag 107.87 Ag.upf
CELL_PARAMETERS angstrom
5.613 0.000 0.000
0.000 5.613 0.000
0.000 0.000 5.075
ATOMIC_POSITIONS crystal
I 0.000 0.500 0.000
I 0.500 0.000 0.000
Sb 0.000 0.000 0.500
Tc 0.000 0.000 0.000
Ag 0.500 0.500 0.500

=====

[2]
! KY2Mg PBE optimized geometry; values from VASP
! Size of the total moment: 0.00 μB per atom
! SG: Pm, No. 6
! Density of states at the Fermi level: 5.22 states/eV/f.u.
! ΔE_f: 0.158 eV per atom
&SYSTEM
  ibrav = 0, nat = 4, ntyp = 3
/
ATOMIC_SPECIES
K 39.10 K.upf
Mg 24.30 Mg.upf
Y 88.91 Y.upf
CELL_PARAMETERS angstrom
3.636 0.000 0.000
0.000 3.635 0.027
0.000 3.567 10.980
ATOMIC_POSITIONS crystal
K 0.000 0.479 0.519
Mg 0.500 0.707 0.795
Y 0.000 0.015 0.985
Y 0.500 0.298 0.201

=====

[3]
! ZrScFeRu PBE optimized geometry; values from VASP
! Size of the total moment: 0.04 μB per atom
! SG: P4mm, No. 99
! Density of states at the Fermi level: 4.12 states/eV/f.u.
! ΔE_f: -0.384 eV per atom
&SYSTEM
  ibrav = 0, nat = 4, ntyp = 4
/
ATOMIC_SPECIES
Zr 91.22 Zr.upf
Sc 44.96 Sc.upf
Fe 55.84 Fe.upf
Ru 101.07 Ru.upf
CELL_PARAMETERS angstrom
-2.952 -0.185 1.236
-1.059 -1.313 -2.725
1.321 -5.807 2.285
ATOMIC_POSITIONS crystal
Zr 0.000 0.000 0.349
Sc 0.000 0.000 0.861
Fe 0.500 0.500 0.113
Ru 0.500 0.500 0.605

=====

[4]
! Sr3Cr2 PBE optimized geometry; values from VASP
! Size of the total moment: 1.93 μB per atom
! SG: Fdd2, No. 43
! Density of states at the Fermi level: 4.36 states/eV/f.u.
! ΔE_f: 0.735 eV per atom
! Energy relative to the lowest polymorph listed for this composition: 48 meV per atom
&SYSTEM
  ibrav = 0, nat = 10, ntyp = 2
/
ATOMIC_SPECIES
Sr 87.62 Sr.upf
Cr 52.00 Cr.upf
CELL_PARAMETERS angstrom
6.458 4.144 7.462
0.037 6.832 6.388
1.701 -3.722 5.733
ATOMIC_POSITIONS crystal
Sr 0.339 0.439 0.732
Sr 0.490 0.732 0.439
Sr 0.811 0.911 0.760
Sr 0.518 0.760 0.911
Sr 0.907 0.093 0.093
Sr 0.157 0.343 0.343
Cr 0.353 0.547 0.188
Cr 0.911 0.188 0.547
Cr 0.703 0.897 0.339
Cr 0.062 0.339 0.897

=====

[5]
! Mg2Zn5IrRh2 PBE optimized geometry; values from VASP
! Size of the total moment: 0.00 μB per atom
! SG: P4/mbm, No. 127
! Density of states at the Fermi level: 6.34 states/eV/f.u.
! ΔE_f: -0.310 eV per atom
&SYSTEM
  ibrav = 0, nat = 20, ntyp = 4
/
ATOMIC_SPECIES
Mg 24.30 Mg.upf
Zn 65.41 Zn.upf
Ir 192.22 Ir.upf
Rh 102.91 Rh.upf
CELL_PARAMETERS angstrom
3.930 0.000 0.000
0.000 8.933 0.000
0.000 0.000 8.933
ATOMIC_POSITIONS crystal
Mg 0.000 0.671 0.171
Mg 0.000 0.329 0.829
Mg 0.000 0.171 0.329
Mg 0.000 0.829 0.671
Zn 0.500 0.194 0.072
Zn 0.500 0.806 0.928
Zn 0.500 0.072 0.806
Zn 0.500 0.694 0.428
Zn 0.500 0.928 0.194
Zn 0.500 0.306 0.572
Zn 0.500 0.572 0.694
Zn 0.500 0.428 0.306
Zn 0.500 0.500 0.000
Zn 0.500 0.000 0.500
Ir 0.000 0.000 0.000
Ir 0.000 0.500 0.500
Rh 0.000 0.125 0.625
Rh 0.000 0.875 0.375
Rh 0.000 0.625 0.875
Rh 0.000 0.375 0.125

=====

[6]
! Pm3NdTm3 PBE optimized geometry; values from VASP
! Size of the total moment: 0.00 μB per atom
! SG: R3m, No. 160
! Density of states at the Fermi level: 10.18 states/eV/f.u.
! ΔE_f: 0.232 eV per atom
! Energy relative to the lowest polymorph listed for this composition: 37 meV per atom
&SYSTEM
  ibrav = 0, nat = 7, ntyp = 3
/
ATOMIC_SPECIES
Pm 145.00 Pm.upf
Nd 144.24 Nd.upf
Tm 168.93 Tm.upf
CELL_PARAMETERS angstrom
8.196 0.000 0.000
-2.732 5.737 0.000
-2.732 -2.869 4.969
ATOMIC_POSITIONS crystal
Pm 0.614 0.639 0.639
Pm 0.975 0.000 0.361
Pm 0.975 0.361 0.000
Nd 0.561 0.000 0.000
Tm 0.015 0.597 0.597
Tm 0.418 0.000 0.403
Tm 0.418 0.403 0.000

=====

[7]
! Cd2SbHPd6 PBE optimized geometry; values from VASP
! Raw total energy: -43.106 eV/cell
! Size of the total moment: 0.00 μB per atom
! SG: P-1, No. 2
! Density of states at the Fermi level: 2.64 states/eV/f.u.
&SYSTEM
  ibrav = 0, nat = 10, ntyp = 4
/
ATOMIC_SPECIES
Cd 112.41 Cd.upf
Sb 121.76 Sb.upf
H 1.01 H.upf
Pd 106.42 Pd.upf
CELL_PARAMETERS angstrom
-2.964 -1.178 4.711
5.100 -4.308 1.127
0.161 6.500 -0.816
ATOMIC_POSITIONS crystal
Cd 0.687 0.184 0.463
Cd 0.313 0.817 0.536
Sb 0.500 0.500 0.000
H 0.000 0.000 0.000
Pd 0.670 0.714 0.830
Pd 0.853 0.879 0.587
Pd 0.329 0.287 0.170
Pd 0.826 0.301 0.144
Pd 0.147 0.122 0.413
Pd 0.174 0.700 0.855

=====

[8]
! Ca3Ho5Se8 PBE optimized geometry; values from VASP
! Size of the total moment: 0.00 μB per atom
! E_form (uncorrected): -1823 meV/atom
! SG: R-3m, No. 166
! Density of states at the Fermi level: 6.70 states/eV/f.u.
&SYSTEM
  ibrav = 0, nat = 16, ntyp = 3
/
ATOMIC_SPECIES
Ca 40.08 Ca.upf
Ho 164.93 Ho.upf
Se 78.96 Se.upf
CELL_PARAMETERS angstrom
0.084 1.670 8.005
-0.069 -6.096 5.450
6.738 -1.593 4.439
ATOMIC_POSITIONS crystal
Ca 0.500 0.000 0.500
Ca 0.000 0.000 0.500
Ca 0.000 0.500 0.500
Ho 0.500 0.000 0.000
Ho 0.500 0.500 0.000
Ho 0.000 0.000 0.000
Ho 0.000 0.500 0.000
Ho 0.500 0.500 0.500
Se 0.250 0.250 0.753
Se 0.250 0.747 0.753
Se 0.747 0.250 0.753
Se 0.748 0.748 0.756
Se 0.750 0.750 0.247
Se 0.750 0.253 0.247
Se 0.253 0.750 0.247
Se 0.252 0.252 0.244